# 1
Entry from Alexandria via LeMat-Bulk: an optimized crystal structure of Sc2ZnAs (PBE-GGA).

Lattice parameters (Å, degrees): 9.814 9.814 9.814 19.09 19.09 19.09
Fractional positions:
Sc 0.908 0.908 0.908
Sc 0.092 0.092 0.092
As 0.000 0.000 0.000
Zn 0.500 0.500 0.500

Calculated values
Space group: R-3m, No. 166
Formation energy from the elements, eV/atom: -0.05
Calculated total energy, eV/atom: -4.69

# 2
Entry from Alexandria via LeMat-Bulk: an optimized crystal structure of PaZnFe (PBE-GGA).

Lattice parameters (Å, degrees): 3.201 4.337 4.337 120.00 90.00 90.00
Fractional positions:
Zn 0.167 0.667 0.333
Pa 0.667 0.333 0.667
Fe 0.167 0.000 0.000

Calculated values
Space group: P-6m2, No. 187
Formation energy from the elements, eV/atom: 0.05
Calculated total energy, eV/atom: -6.36

# 3
Entry from Alexandria via LeMat-Bulk: an optimized crystal structure of Dy3ZrTe6 (PBE-GGA).

Lattice parameters (Å, degrees): 8.888 8.888 8.888 90.07 90.07 90.07
Each line ends with the local moment (μB).
Fractional positions:
Dy 0.421 0.915 0.761  0.05
Dy 0.915 0.761 0.421  0.05
Dy 0.239 0.579 0.085  0.05
Dy 0.761 0.421 0.915  0.05
Dy 0.085 0.239 0.579  0.05
Dy 0.579 0.085 0.239  0.05
Zr 0.000 0.000 0.000  0.66
Zr 0.500 0.500 0.500  0.46
Te 0.309 0.919 0.096  -0.01
Te 0.081 0.904 0.691  -0.01
Te 0.581 0.815 0.457  -0.01
Te 0.904 0.691 0.081  -0.01
Te 0.457 0.581 0.815  -0.01
Te 0.185 0.543 0.419  -0.01
Te 0.815 0.457 0.581  -0.01
Te 0.543 0.419 0.185  -0.01
Te 0.096 0.309 0.919  -0.01
Te 0.419 0.185 0.543  -0.01
Te 0.919 0.096 0.309  -0.01
Te 0.691 0.081 0.904  -0.01

Calculated values
Space group: R-3, No. 148
E_form (uncorrected), eV/atom: -1.148
Calculated total energy, eV/atom: -5.27